Crystalline Er2PuBe at its relaxed geometry, computed with PBE.

a b c (Å): 3.384 3.384 8.414
angles (deg): 90.00 90.00 90.00
Fractional positions:
Be 0.500 0.500 0.000
Er 0.000 0.000 0.805
Er 0.000 0.000 0.195
Pu 0.500 0.500 0.500

Calculated values
Calculated formation energy, eV/atom: 0.13
Spin magnetization, μB/f.u.: 6.47
Density of states at the Fermi level, states/eV/f.u.: 8.98

Crystalline Rb2ErBe2S4 at its relaxed geometry, computed with PBE.

a b c (Å): 3.708 7.980 7.508
angles (deg): 109.56 104.30 90.00
Fractional positions:
Rb 0.131 0.542 0.262
Rb 0.869 0.458 0.738
Er 0.000 0.000 0.000
Be 0.671 0.977 0.342
Be 0.329 0.023 0.658
S 0.204 0.135 0.407
S 0.796 0.865 0.593
S 0.535 0.776 0.070
S 0.465 0.224 0.930

Calculated values
E_form (uncorrected), eV/atom: -1.191
Spin magnetization, μB/f.u.: 0.00
Density of states at the Fermi level, states/eV/f.u.: 3.33

Crystalline RbErBeS3 at its relaxed geometry, computed with PBE.

a b c (Å): 3.853 9.189 9.252
angles (deg): 110.67 90.00 90.00
Fractional positions:
Rb 0.250 0.207 0.237
Rb 0.750 0.793 0.763
Er 0.250 0.667 0.147
Er 0.750 0.333 0.853
Be 0.250 0.076 0.605
Be 0.750 0.924 0.395
S 0.750 0.879 0.160
S 0.250 0.121 0.840
S 0.250 0.836 0.466
S 0.750 0.164 0.534
S 0.750 0.468 0.162
S 0.250 0.532 0.838

Calculated values
E_form (uncorrected), eV/atom: -1.563
Spin magnetization, μB/f.u.: 0.00
Density of states at the Fermi level, states/eV/f.u.: 0.00

Crystalline RbErBeSe3 at its relaxed geometry, computed with PBE.

a b c (Å): 4.006 9.545 9.680
angles (deg): 110.95 90.00 90.00
Fractional positions:
Rb 0.250 0.208 0.238
Rb 0.750 0.792 0.762
Er 0.250 0.668 0.144
Er 0.750 0.332 0.856
Be 0.250 0.077 0.605
Be 0.750 0.923 0.395
Se 0.750 0.883 0.156
Se 0.250 0.117 0.844
Se 0.250 0.828 0.467
Se 0.750 0.172 0.533
Se 0.750 0.469 0.166
Se 0.250 0.531 0.834

Calculated values
E_form (uncorrected), eV/atom: -1.399
Spin magnetization, μB/f.u.: 0.00
Density of states at the Fermi level, states/eV/f.u.: 0.00

Q: Among the records above, which one has the highest spin magnetization?
A: Er2PuBe

Q: What is the formula in the third record?
A: RbErBeS3

Copy entry 2 word for word.
Crystalline Rb2ErBe2S4 at its relaxed geometry, computed with PBE.

a b c (Å): 3.708 7.980 7.508
angles (deg): 109.56 104.30 90.00
Fractional positions:
Rb 0.131 0.542 0.262
Rb 0.869 0.458 0.738
Er 0.000 0.000 0.000
Be 0.671 0.977 0.342
Be 0.329 0.023 0.658
S 0.204 0.135 0.407
S 0.796 0.865 0.593
S 0.535 0.776 0.070
S 0.465 0.224 0.930

Calculated values
E_form (uncorrected), eV/atom: -1.191
Spin magnetization, μB/f.u.: 0.00
Density of states at the Fermi level, states/eV/f.u.: 3.33